# BeCrPt SCAN PBEsol geometry
data_BeCrPt
_chemical_formula_sum 'Be4 Cr4 Pt4'
_cell_length_a 5.4371
_cell_length_b 5.4371
_cell_length_c 5.4371
_cell_angle_alpha 90.00
_cell_angle_beta 90.00
_cell_angle_gamma 90.00
_symmetry_space_group_name_H-M 'F -4 3 m'
_symmetry_Int_Tables_number 216
_symmetry_space_group_name_Hall 'F -4 2 3'
loop_
_atom_site_label
_atom_site_type_symbol
_atom_site_fract_x
_atom_site_fract_y
_atom_site_fract_z
_atom_site_occupancy
Be1 Be 0.0000 0.0000 0.0000 1
Cr1 Cr 0.2500 0.2500 0.2500 1
Pt1 Pt 0.2500 0.2500 0.7500 1
# Density of states at the Fermi level ... 5.55 states/eV per cell
# Density ... 10583 kg/m³
# Calculated total energy ... -31.325 eV per atom